(1)
Na2Li5Tl4 | Alexandria | PBE | optimized geometry; D(E_F) = 0.415 states/eV per atom; total magnetization = 0.0 μB/cell; crystal system = monoclinic; energy relative to the elements = -1.6 eV per formula unit
1.0
8.006 0.000 0.000
0.000 3.421 0.000
-2.882 0.000 9.305
Na Li Tl
2 5 4
direct
0.150 0.000 0.420 Na
0.850 0.000 0.580 Na
0.071 0.000 0.886 Li
0.491 0.000 0.329 Li
0.500 0.000 0.000 Li
0.509 0.000 0.671 Li
0.929 0.000 0.114 Li
0.248 0.500 0.128 Tl
0.257 0.500 0.743 Tl
0.743 0.500 0.257 Tl
0.752 0.500 0.872 Tl


(2)
SrCdAg2Pb | Alexandria | PBE | optimized geometry; D(E_F) = 0.552 states/eV per atom; total magnetization = 0.0 μB/cell; crystal system = orthorhombic; energy relative to the elements = -0.9 eV per formula unit
1.0
4.425 0.000 0.000
0.000 4.735 0.000
0.000 0.000 12.804
Sr Cd Ag Pb
2 2 4 2
direct
0.000 0.000 0.000 Sr
0.500 0.500 0.500 Sr
0.000 0.500 0.766 Cd
0.500 0.000 0.266 Cd
0.000 0.000 0.402 Ag
0.000 0.500 0.276 Ag
0.500 0.000 0.776 Ag
0.500 0.500 0.902 Ag
0.000 0.000 0.624 Pb
0.500 0.500 0.124 Pb


(3)
K5Y2F12 | Alexandria | PBE | optimized geometry; D(E_F) = 0.739 states/eV per atom; formation energy (no corrections) = -3.174 eV/atom; total magnetization = 1.2 μB/cell; crystal system = monoclinic
1.0
6.650 -4.005 0.000
6.650 4.005 0.000
-0.769 0.000 6.642
K Y F
5 2 12
direct
0.000 0.000 0.000 K
0.242 0.242 0.451 K
0.350 0.350 0.958 K
0.650 0.650 0.042 K
0.758 0.758 0.549 K
0.254 0.746 0.500 Y
0.746 0.254 0.500 Y
0.073 0.073 0.635 F
0.094 0.698 0.735 F
0.174 0.558 0.273 F
0.302 0.906 0.265 F
0.440 0.440 0.636 F
0.442 0.826 0.727 F
0.558 0.174 0.273 F
0.560 0.560 0.364 F
0.698 0.094 0.735 F
0.826 0.442 0.727 F
0.906 0.302 0.265 F
0.927 0.927 0.365 F


(4)
PaPdPb | Alexandria | PBE | optimized geometry; D(E_F) = 1.282 states/eV per atom; total magnetization = 0.8 μB/cell; crystal system = hexagonal; energy relative to the elements = -0.7 eV per formula unit
1.0
4.847 0.000 0.000
-2.424 4.198 0.000
0.000 0.000 3.399
Pa Pd Pb
1 1 1
direct
0.000 0.000 0.000 Pa
0.333 0.667 0.500 Pd
0.667 0.333 0.500 Pb


(5)
Li2BePb | Alexandria | PBE | optimized geometry; D(E_F) = 0.217 states/eV per atom; total magnetization = 0.0 μB/cell; crystal system = tetragonal; energy relative to the elements = 0.6 eV per formula unit
1.0
3.417 0.000 0.000
0.000 3.417 0.000
0.000 0.000 5.794
Li Be Pb
2 1 1
direct
0.000 0.000 0.219 Li
0.000 0.000 0.781 Li
0.500 0.500 0.000 Be
0.500 0.500 0.500 Pb


(6)
MgTa2AlH | Alexandria | PBE | optimized geometry; D(E_F) = 0.334 states/eV per atom; DFT total energy = -6.49 eV per atom; total magnetization = 0.0 μB/cell; crystal system = tetragonal
1.0
4.056 0.000 0.000
0.000 4.056 0.000
0.000 0.000 4.451
Mg Ta Al H
1 2 1 1
direct
0.000 0.000 0.000 Mg
0.000 0.500 0.500 Ta
0.500 0.000 0.500 Ta
0.500 0.500 0.000 Al
0.000 0.000 0.500 H


(7)
LiZrGe2 | Alexandria | PBE | optimized geometry; D(E_F) = 0.481 states/eV per atom; total magnetization = 0.0 μB/cell; crystal system = trigonal; energy relative to the elements = -1.3 eV per formula unit
1.0
4.170 0.000 0.000
-2.085 3.611 0.000
0.000 0.000 13.890
Li Zr Ge
3 3 6
direct
0.000 0.000 0.000 Li
0.333 0.667 0.667 Li
0.667 0.333 0.333 Li
0.000 0.000 0.500 Zr
0.333 0.667 0.167 Zr
0.667 0.333 0.833 Zr
0.000 0.000 0.273 Ge
0.000 0.000 0.727 Ge
0.333 0.667 0.393 Ge
0.333 0.667 0.940 Ge
0.667 0.333 0.060 Ge
0.667 0.333 0.607 Ge


(8)
Nb2SeBr3 | Alexandria | PBE | optimized geometry; D(E_F) = 0.343 states/eV per atom; formation energy (no corrections) = -0.881 eV/atom; total magnetization = 0.0 μB/cell; crystal system = monoclinic
1.0
14.783 -1.739 0.000
14.783 1.739 0.000
-0.644 0.000 6.194
Nb Se Br
4 2 6
direct
0.120 0.120 0.336 Nb
0.374 0.374 0.023 Nb
0.626 0.626 0.977 Nb
0.880 0.880 0.664 Nb
0.441 0.441 0.791 Se
0.559 0.559 0.209 Se
0.073 0.073 0.717 Br
0.191 0.191 0.110 Br
0.326 0.326 0.397 Br
0.674 0.674 0.603 Br
0.809 0.809 0.890 Br
0.927 0.927 0.283 Br


(9)
MnCr2Te | Alexandria | PBE | optimized geometry; D(E_F) = 1.084 states/eV per atom; formation energy (no corrections) = 0.447 eV/atom; total magnetization = 3.8 μB/cell; crystal system = monoclinic
1.0
8.634 0.000 0.000
0.000 3.133 0.000
-0.843 0.000 4.372
Mn Cr Te
2 4 2
direct
0.000 0.000 0.000 Mn
0.500 0.500 0.000 Mn
0.243 0.500 0.188 Cr
0.257 0.000 0.812 Cr
0.743 0.000 0.188 Cr
0.757 0.500 0.812 Cr
0.000 0.500 0.500 Te
0.500 0.000 0.500 Te


(10)
Ac2Dy3Rh2 | Alexandria | PBE | optimized geometry; D(E_F) = 0.988 states/eV per atom; total magnetization = 0.0 μB/cell; crystal system = monoclinic; energy relative to the elements = -3.7 eV per formula unit
1.0
12.582 0.000 0.000
0.000 3.932 0.000
-4.219 0.000 8.279
Ac Dy Rh
4 6 4
direct
0.162 0.000 0.297 Ac
0.338 0.500 0.703 Ac
0.662 0.500 0.297 Ac
0.838 0.000 0.703 Ac
0.000 0.500 0.500 Dy
0.122 0.500 0.924 Dy
0.378 0.000 0.076 Dy
0.500 0.000 0.500 Dy
0.622 0.000 0.924 Dy
0.878 0.500 0.076 Dy
0.169 0.000 0.746 Rh
0.331 0.500 0.254 Rh
0.669 0.500 0.746 Rh
0.831 0.000 0.254 Rh


(11)
Ba2GeSe3 | Alexandria | PBE | optimized geometry; formation energy (no corrections) = -1.375 eV/atom; total magnetization = 0.0 μB/cell; crystal system = monoclinic
1.0
3.347 -7.761 0.000
3.347 7.761 0.000
-0.769 0.000 15.369
Ba Ge Se
8 4 12
direct
0.030 0.424 0.345 Ba
0.131 0.345 0.932 Ba
0.345 0.131 0.432 Ba
0.424 0.030 0.845 Ba
0.576 0.970 0.155 Ba
0.655 0.869 0.568 Ba
0.869 0.655 0.068 Ba
0.970 0.576 0.655 Ba
0.322 0.333 0.670 Ge
0.333 0.322 0.170 Ge
0.667 0.678 0.830 Ge
0.678 0.667 0.330 Ge
0.014 0.986 0.750 Se
0.092 0.474 0.127 Se
0.154 0.340 0.533 Se
0.340 0.154 0.033 Se
0.362 0.638 0.750 Se
0.474 0.092 0.627 Se
0.526 0.908 0.373 Se
0.638 0.362 0.250 Se
0.660 0.846 0.967 Se
0.846 0.660 0.467 Se
0.908 0.526 0.873 Se
0.986 0.014 0.250 Se


(12)
CeScHgBi | Alexandria | PBE | optimized geometry; D(E_F) = 2.667 states/eV per atom; total magnetization = 7.5 μB/cell; crystal system = cubic; energy relative to the elements = -1.6 eV per formula unit
1.0
7.525 0.000 0.000
0.000 7.525 0.000
0.000 0.000 7.525
Ce Sc Hg Bi
4 4 4 4
direct
0.000 0.000 0.000 Ce
0.000 0.500 0.500 Ce
0.500 0.000 0.500 Ce
0.500 0.500 0.000 Ce
0.000 0.000 0.500 Sc
0.000 0.500 0.000 Sc
0.500 0.000 0.000 Sc
0.500 0.500 0.500 Sc
0.250 0.250 0.750 Hg
0.250 0.750 0.250 Hg
0.750 0.250 0.250 Hg
0.750 0.750 0.750 Hg
0.250 0.250 0.250 Bi
0.250 0.750 0.750 Bi
0.750 0.250 0.750 Bi
0.750 0.750 0.250 Bi


Question: Number 1 is which compound?
Answer: Na2Li5Tl4